## Sm6AgIr3 (PBE-GGA)

Data for an optimized crystal structure of Sm6AgIr3.

* calculated formation energy: -0.4803 eV/atom
* space group: Cmc2_1
* VASP energy: -125.1 eV for the cell shown

Cell: 7.2273 8.9652 8.9652 Å, 104.59 90.00 90.00°
Closest atoms and distances in Å follow each position.
Positions (direct):
Sm: 0.1712 0.3623 0.3026  4 Ir 2.92-3.03
Sm: 0.2266 0.0987 0.5373  3 Ir 2.85-3.01, 1 Ag 3.02
Sm: 0.1712 0.6974 0.6377  4 Ir 2.92-3.03
Sm: 0.6712 0.3026 0.3623  4 Ir 2.92-3.03
Sm: 0.1059 0.7687 0.2313  3 Ir 2.82-2.87, 1 Ag 2.94
Sm: 0.7266 0.5373 0.0987  3 Ir 2.85-3.01, 1 Ag 3.02
Sm: 0.6712 0.6377 0.6974  4 Ir 2.92-3.03
Sm: 0.7266 0.9013 0.4627  3 Ir 2.85-3.01, 1 Ag 3.02
Sm: 0.6059 0.2313 0.7687  3 Ir 2.82-2.87, 1 Ag 2.94
Sm: 0.2266 0.4627 0.9013  3 Ir 2.85-3.01, 1 Ag 3.02
Sm: 0.2592 0.0092 0.9908  2 Ir 2.88, 2 Ag 2.99-3.09
Sm: 0.7592 0.9908 0.0092  2 Ir 2.88, 2 Ag 2.99-3.09
Ag: 0.4965 0.8277 0.1723  5 Sm 2.94-3.09
Ag: 0.9965 0.1723 0.8277  5 Sm 2.94-3.09
Ir: 0.3879 0.4005 0.5995  7 Sm 2.87-3.03
Ir: 0.4701 0.2901 0.0725  6 Sm 2.82-3.01
Ir: 0.9701 0.7099 0.9275  6 Sm 2.82-3.01
Ir: 0.4701 0.9275 0.7099  6 Sm 2.82-3.01
Ir: 0.8879 0.5995 0.4005  7 Sm 2.87-3.03
Ir: 0.9701 0.0725 0.2901  6 Sm 2.82-3.01